A relaxed Be2As crystal, computed with GGA-PBEsol.

a = 2.6658 Å, b = 2.6658 Å, c = 5.5077 Å
α = 104.01°, β = 104.01°, γ = 90.00°
Last column: nearest neighbours and their distance in Å.
Sites, in units of the cell vectors:
Be  0.1916  0.1916  0.3832  4 Be 2.24
Be  0.8084  0.8084  0.6168  4 Be 2.24
As  0.5000  0.5000  0.0000  4 As 2.67, 8 Be 2.74

total DFT energy (no corrections)	-3.867	eV/atom
formation energy from the elements	0.502	eV per atom
energy above the most stable polymorph in this dataset	0.096	eV per atom

=====

A relaxed BeAs crystal, computed with GGA-PBEsol.

a = 3.3331 Å, b = 3.3331 Å, c = 6.7012 Å
α = 90.00°, β = 90.00°, γ = 120.00°
Last column: nearest neighbours and their distance in Å.
Sites, in units of the cell vectors:
Be  0.3333  0.6667  0.1521  4 As 2.18-2.25
Be  0.6667  0.3333  0.6521  4 As 2.18-2.25
As  0.6667  0.3333  0.9769  4 Be 2.18-2.25
As  0.3333  0.6667  0.4769  4 Be 2.18-2.25

total DFT energy (no corrections)	-4.452	eV/atom
formation energy from the elements	0.101	eV per atom
energy above the most stable polymorph in this dataset	0.091	eV per atom

=====

A relaxed BeAs crystal, computed with GGA-PBEsol.

a = 3.3440 Å, b = 3.8938 Å, c = 5.3910 Å
α = 107.36°, β = 90.00°, γ = 115.43°
Last column: nearest neighbours and their distance in Å.
Sites, in units of the cell vectors:
Be  0.8895  0.7791  0.5925  1 Be 2.11, 1 As 2.24
Be  0.1105  0.2209  0.4075  1 Be 2.11, 1 As 2.24
As  0.3608  0.7216  0.2379  5 Be 2.24-2.50
As  0.6392  0.2784  0.7621  5 Be 2.24-2.50

total DFT energy (no corrections)	-4.493	eV/atom
formation energy from the elements	0.060	eV per atom
energy above the most stable polymorph in this dataset	0.050	eV per atom

=====

A relaxed BeBiAs2 crystal, computed with GGA-PBEsol.

a = 5.7342 Å, b = 5.7342 Å, c = 7.0432 Å
α = 114.02°, β = 114.02°, γ = 90.00°
Last column: nearest neighbours and their distance in Å.
Sites, in units of the cell vectors:
As  0.7853  0.3750  0.2500  2 Be 2.23
As  0.1250  0.2147  0.7500  2 Be 2.23
As  0.4647  0.8750  0.2500  2 Be 2.23
As  0.6250  0.5353  0.7500  2 Be 2.23
Be  0.7500  0.2500  0.5000  4 As 2.23
Be  0.5000  0.5000  0.0000  4 As 2.23
Bi  0.2500  0.7500  0.5000  4 As 2.81
Bi  0.0000  0.0000  0.0000  4 As 2.81

total DFT energy (no corrections)	-4.550	eV/atom
formation energy from the elements	0.075	eV per atom

=====

A relaxed Be2BiAs2 crystal, computed with GGA-PBEsol.

a = 3.6154 Å, b = 3.6154 Å, c = 7.1479 Å
α = 104.65°, β = 104.65°, γ = 90.00°
Last column: nearest neighbours and their distance in Å.
Sites, in units of the cell vectors:
As  0.3566  0.3566  0.7133  4 Be 2.30
As  0.6434  0.6434  0.2867  4 Be 2.30
Be  0.2500  0.7500  0.5000  4 As 2.30, 4 Be 2.56
Be  0.7500  0.2500  0.5000  4 As 2.30, 4 Be 2.56
Bi  0.0000  0.0000  0.0000  8 As 3.19

total DFT energy (no corrections)	-4.423	eV/atom
formation energy from the elements	0.076	eV per atom

=====

A relaxed BeBi2As crystal, computed with GGA-PBEsol.

a = 5.0218 Å, b = 5.0218 Å, c = 5.0218 Å
α = 60.00°, β = 60.00°, γ = 60.00°
Last column: nearest neighbours and their distance in Å.
Sites, in units of the cell vectors:
Bi  0.7500  0.7500  0.7500  4 As 3.08, 4 Be 3.08
Bi  0.2500  0.2500  0.2500  4 Be 3.08, 4 As 3.08
Be  0.0000  0.0000  0.0000  8 Bi 3.08
As  0.5000  0.5000  0.5000  8 Bi 3.08

total DFT energy (no corrections)	-3.883	eV/atom
formation energy from the elements	0.537	eV per atom

=====

A relaxed Be2BiAsRh crystal, computed with GGA-PBEsol.

a = 4.2096 Å, b = 4.2096 Å, c = 4.8842 Å
α = 90.00°, β = 90.00°, γ = 90.00°
Last column: nearest neighbours and their distance in Å.
Sites, in units of the cell vectors:
Be  0.0000  0.5000  0.0000  2 As 2.10
Be  0.5000  0.0000  0.0000  2 As 2.10
Rh  0.0000  0.0000  0.5000  2 As 2.44
Bi  0.5000  0.5000  0.5000  4 Rh 2.98, 8 Be 3.22
As  0.0000  0.0000  0.0000  4 Be 2.10

total DFT energy (no corrections)	-4.606	eV/atom
formation energy from the elements	0.500	eV per atom

=====

A relaxed BeAsBr crystal, computed with GGA-PBEsol.

a = 4.4607 Å, b = 4.4607 Å, c = 4.4607 Å
α = 60.00°, β = 60.00°, γ = 60.00°
Last column: nearest neighbours and their distance in Å.
Sites, in units of the cell vectors:
Br  0.2500  0.2500  0.2500  4 Be 2.73, 4 As 2.73
Be  0.5000  0.5000  0.5000  4 Br 2.73
As  0.0000  0.0000  0.0000  4 Br 2.73

total DFT energy (no corrections)	-2.361	eV/atom
ΔE_f (raw)	1.30	eV/atom

=====

A relaxed BeAs2Br crystal, computed with GGA-PBEsol.

a = 2.9789 Å, b = 4.9235 Å, c = 4.9235 Å
α = 90.00°, β = 90.00°, γ = 90.00°
Last column: nearest neighbours and their distance in Å.
Sites, in units of the cell vectors:
Be  0.5000  0.5000  0.5000  8 As 2.88, 2 Be 2.98
As  0.0000  0.5000  0.0000  4 Be 2.88, 4 Br 2.88, 2 As 2.98
As  0.0000  0.0000  0.5000  4 Be 2.88, 4 Br 2.88, 2 As 2.98
Br  0.5000  0.0000  0.0000  8 As 2.88, 2 Br 2.98

total DFT energy (no corrections)	-3.307	eV/atom
ΔE_f (raw)	0.71	eV/atom
energy above the most stable polymorph in this dataset	0.640	eV per atom

=====

A relaxed Be2AsBr crystal, computed with GGA-PBEsol.

a = 3.5835 Å, b = 3.6551 Å, c = 6.4250 Å
α = 93.01°, β = 90.00°, γ = 119.35°
Last column: nearest neighbours and their distance in Å.
Sites, in units of the cell vectors:
Be  0.0202  0.0405  0.8498  3 Be 2.19-2.28
Be  0.3653  0.7307  0.9639  3 Be 2.19-2.28, 3 As 2.21-2.26, 1 Br 2.34
Br  0.4076  0.8151  0.6053  3 Be 2.34-2.46
As  0.7069  0.4137  0.0810  3 Be 2.21-2.26

total DFT energy (no corrections)	-3.879	eV/atom
ΔE_f (raw)	-0.14	eV/atom
energy above the most stable polymorph in this dataset	0.155	eV per atom

=====

A relaxed BeAs2Br crystal, computed with GGA-PBEsol.

a = 3.0784 Å, b = 4.3441 Å, c = 6.9598 Å
α = 108.18°, β = 102.78°, γ = 90.00°
Last column: nearest neighbours and their distance in Å.
Sites, in units of the cell vectors:
Br  0.1489  0.6489  0.2978  2 Be 2.23
As  0.8607  0.3607  0.7213  2 As 2.57, 2 Be 2.60
As  0.9668  0.9668  0.9336  2 As 2.57, 4 Be 2.76
Be  0.5236  0.5236  0.0473  2 Br 2.23

total DFT energy (no corrections)	-3.947	eV/atom
ΔE_f (raw)	0.07	eV/atom
energy above the most stable polymorph in this dataset	0.000	eV per atom

=====

A relaxed Be2AsBr crystal, computed with GGA-PBEsol.

a = 4.5045 Å, b = 4.5045 Å, c = 4.5045 Å
α = 60.00°, β = 60.00°, γ = 60.00°
Last column: nearest neighbours and their distance in Å.
Sites, in units of the cell vectors:
Be  0.0000  0.0000  0.0000  4 Br 2.76, 4 Be 2.76
Be  0.2500  0.2500  0.2500  4 Be 2.76, 4 As 2.76
As  0.5000  0.5000  0.5000  4 Be 2.76, 4 Br 2.76
Br  0.7500  0.7500  0.7500  4 As 2.76, 4 Be 2.76

total DFT energy (no corrections)	-2.717	eV/atom
ΔE_f (raw)	1.03	eV/atom
energy above the most stable polymorph in this dataset	1.317	eV per atom